No. 1
Below is crystalline BeNiP2Cl at its relaxed geometry, with properties calculated at the GGA-PBE level.

Results
Energy relative to the elements, uncorrected: 0.809 eV/atom
Excess energy over the best structure of this formula in the dataset: 59 meV/atom

```
BeNiP2Cl
1.0
4.2806 0.0000 0.0000
0.0000 4.2806 0.0000
0.0000 0.0000 5.0270
Be Ni P Cl
1 1 2 1
Direct
0.0000 0.0000 0.0000
0.5000 0.5000 0.5000
0.0000 0.5000 0.5000
0.5000 0.0000 0.5000
0.5000 0.5000 0.0000
```

---

No. 2
Below is crystalline CePa2V at its relaxed geometry, with properties calculated at the GGA-PBE level.

Results
Energy of formation: 0.178 eV/atom
Excess energy over the best structure of this formula in the dataset: 0 meV/atom

```
CePa2V
1.0
3.3862 0.0000 0.0000
0.0000 3.3862 0.0000
0.0000 0.0000 7.8413
Ce Pa V
1 2 1
Direct
0.0000 0.0000 0.0000
0.5000 0.5000 0.2838
0.5000 0.5000 0.7162
0.0000 0.0000 0.5000
```

---

| no. | final energy (eV per atom) | V (A^3/atom) | total moment (μB/f.u.) |
| --- | --- | --- | --- |
| 1 | -3.626 | 18.42 | 0.914 |
| 2 | -8.333 | 22.48 | 0.000 |